## Mg2GaGeBr (SCAN)

Data for Mg2GaGeBr at its PBEsol-relaxed geometry.

Values from the calculation:
Its raw formation energy is 0.224 eV/atom. The value obtained for the total energy is -12.744 eV per atom.

Cell lengths 5.083, 5.083, 5.453 Å; angles 90.00, 90.00, 90.00 degrees
Atoms (fractional coordinates):
1 Mg 0.000 0.500 0.000
2 Mg 0.500 0.000 0.000
3 Ga 0.000 0.000 0.500
4 Ge 0.500 0.500 0.000
5 Br 0.500 0.500 0.500